No. 1
The following is a DFT calculation (PBE) of a geometry-optimized Si2PAuC structure.

a = 3.2886 Å, b = 4.4750 Å, c = 7.3676 Å
α = 83.07°, β = 77.88°, γ = 68.71°
With the nearest neighbours (Å) after each atom.
Space group P1 (No. 1)
Unique sites:
Si (0.0000, 0.0000, 0.0000) [1 per cell]  2 C 1.99-2.00
Si (0.2323, 0.1589, 0.3410) [1 per cell]  1 C 1.98
P (0.6655, 0.4344, 0.1899) [1 per cell]  1 C 1.80
Au (0.1337, 0.0471, 0.6692) [1 per cell]  2 Si 2.38-2.39
C (0.5070, 0.8593, 0.1373) [1 per cell]  1 P 1.80, 3 Si 1.98-2.00

E	-5.55	eV per atom
total magnetic moment	0.00	μB/cell
offset from the most stable computed form	0.0	meV per atom
E_form (uncorrected)	203	meV/atom

No. 2
The following is a DFT calculation (PBE) of a geometry-optimized PrPaSn structure.

a = 5.3225 Å, b = 5.3225 Å, c = 3.2547 Å
α = 90.00°, β = 90.00°, γ = 120.00°
With the nearest neighbours (Å) after each atom.
Space group P-6m2 (No. 187)
Unique sites:
Pr (0.0000, 0.0000, 0.0000) [1 per cell]  3 Pa 3.07, 2 Pr 3.25
Pa (0.3333, 0.6667, 0.0000) [1 per cell]  3 Pr 3.07, 2 Pa 3.25
Sn (0.6667, 0.3333, 0.5000) [1 per cell]  2 Sn 3.25, 6 Pr 3.48, 6 Pa 3.48

E	-6.01	eV per atom
total magnetic moment	0.00	μB/cell
offset from the most stable computed form	175.9	meV per atom

No. 3
The following is a DFT calculation (PBE) of a geometry-optimized Tb2CoCl structure.

a = 3.2941 Å, b = 3.2941 Å, c = 7.9069 Å
α = 90.00°, β = 90.00°, γ = 90.00°
With the nearest neighbours (Å) after each atom.
Space group P4/mmm (No. 123)
Unique sites:
Tb (0.0000, 0.0000, 0.2101) [2 per cell]  4 Co 2.86
Co (0.5000, 0.5000, 0.0000) [1 per cell]  8 Tb 2.86
Cl (0.5000, 0.5000, 0.5000) [1 per cell]  8 Tb 3.27, 4 Cl 3.29

E	-5.24	eV per atom
total magnetic moment	0.00	μB/cell
offset from the most stable computed form	162.4	meV per atom
E_form (uncorrected)	-691	meV/atom

No. 4
The following is a DFT calculation (PBE) of a geometry-optimized Sc2BeP structure.

a = 5.1766 Å, b = 3.5228 Å, c = 7.5334 Å
α = 90.00°, β = 108.00°, γ = 90.00°
With the nearest neighbours (Å) after each atom.
Space group P2_1/m (No. 11)
Unique sites:
Sc (0.2105, 0.2500, 0.4242) [2 per cell]  3 Be 2.69-2.79, 4 P 2.71-2.78
Sc (0.2836, 0.7500, 0.0664) [2 per cell]  4 Be 2.70-2.83, 3 P 2.74-2.80
Be (0.1520, 0.2500, 0.7802) [2 per cell]  2 P 2.19
P (0.3530, 0.7500, 0.7119) [2 per cell]  2 Be 2.19

E	-6.29	eV per atom
total magnetic moment	0.00	μB/cell
offset from the most stable computed form	6.5	meV per atom

No. 5
The following is a DFT calculation (PBE) of a geometry-optimized Cr2OsCl structure.

a = 2.9203 Å, b = 2.9203 Å, c = 7.2634 Å
α = 90.00°, β = 90.00°, γ = 90.00°
With the nearest neighbours (Å) after each atom.
Space group P4/mmm (No. 123)
Unique sites:
Cr (0.0000, 0.0000, 0.2259) [2 per cell]  4 Os 2.64, 4 Cl 2.87, 4 Cr 2.92
Os (0.5000, 0.5000, 0.0000) [1 per cell]  8 Cr 2.64, 4 Os 2.92
Cl (0.5000, 0.5000, 0.5000) [1 per cell]  8 Cr 2.87, 4 Cl 2.92

E	-7.78	eV per atom
total magnetic moment	5.75	μB/cell
offset from the most stable computed form	134.9	meV per atom
E_form (uncorrected)	304	meV/atom

No. 6
The following is a DFT calculation (PBE) of a geometry-optimized SiBi structure.

a = 3.6031 Å, b = 5.1373 Å, c = 7.6074 Å
α = 71.20°, β = 88.15°, γ = 69.62°
With the nearest neighbours (Å) after each atom.
Space group P-1 (No. 2)
Unique sites:
Si (0.1760, 0.1495, 0.4993) [2 per cell]  2 Si 2.30
Bi (0.0591, 0.3432, 0.7992) [2 per cell]  2 Si 2.73-2.74

E	-4.41	eV per atom
total magnetic moment	0.00	μB/cell
E_form (uncorrected)	243	meV/atom